The following is a GGA-PBE calculation of a relaxed structure of NaHg2O2, from Alexandria via LeMat-Bulk.

Cell lengths 6.1708, 6.1708, 5.3415 Å; angles 109.42, 109.42, 94.51 degrees
With the nearest neighbours (Å) after each atom.
Atoms (fractional coordinates):
Na1 0.8604 0.6396 0.7500  4 O 2.42-2.67
Na2 0.1396 0.3604 0.2500  4 O 2.42-2.67
Hg1 0.2062 0.9248 0.4679  3 O 2.32-2.40
Hg2 0.4248 0.7062 0.9679  3 O 2.32-2.40
Hg3 0.7938 0.0752 0.5321  3 O 2.32-2.40
Hg4 0.5752 0.2938 0.0321  3 O 2.32-2.40
O1 0.1360 0.3640 0.7500  2 Hg 2.32, 1 Na 2.50
O2 0.4068 0.0932 0.2500  4 Hg 2.35-2.40, 1 Na 2.42
O3 0.5932 0.9068 0.7500  4 Hg 2.35-2.40, 1 Na 2.42
O4 0.8640 0.6360 0.2500  2 Hg 2.32, 1 Na 2.50

Values from the calculation:
Symmetry: No. 15
Formation energy from raw total energies, eV per atom: -0.42